1.
NiSbTe: optimized geometry, PBE.

Computed properties:
As for the total magnetization: 0.0 Bohr magnetons per cell. The formation energy from raw total energies is 0.076 eV/atom.

The structure in CIF format:
```
data_NiSbTe
_symmetry_space_group_name_H-M 'P 1'
_symmetry_Int_Tables_number 1
_symmetry_space_group_name_Hall 'P 1'
_cell_length_a 6.800
_cell_length_b 6.592
_cell_length_c 3.364
_cell_angle_alpha 78.91
_cell_angle_beta 72.04
_cell_angle_gamma 29.05
loop_
_atom_site_label
_atom_site_type_symbol
_atom_site_fract_x
_atom_site_fract_y
_atom_site_fract_z
Ni1 Ni 0.999 0.999 0.001
Sb1 Sb 0.376 0.376 0.624
Te1 Te 0.625 0.625 0.375
```

---

2.
YCo2Pb: optimized geometry, PBE.

Computed properties:
As for the total magnetization: 1.7 Bohr magnetons per cell. As for the formation energy from the elements: 0.461 eV/atom.

The structure in CIF format:
```
data_YCo2Pb
_symmetry_space_group_name_H-M 'P 1'
_symmetry_Int_Tables_number 1
_symmetry_space_group_name_Hall 'P 1'
_cell_length_a 8.002
_cell_length_b 8.002
_cell_length_c 8.002
_cell_angle_alpha 24.81
_cell_angle_beta 24.81
_cell_angle_gamma 24.81
loop_
_atom_site_label
_atom_site_type_symbol
_atom_site_fract_x
_atom_site_fract_y
_atom_site_fract_z
Co1 Co 0.996 0.996 0.996
Co2 Co 0.504 0.504 0.504
Pb1 Pb 0.250 0.250 0.250
Y1 Y 0.750 0.750 0.750
```

---

3.
KCuH3: optimized geometry, PBE.

Computed properties:
As for the total magnetization: 1.0 Bohr magnetons per cell. The distance to the lowest polymorph of the same formula is 1385 meV per atom.

The structure in CIF format:
```
data_KCuH3
_symmetry_space_group_name_H-M 'P 1'
_symmetry_Int_Tables_number 1
_symmetry_space_group_name_Hall 'P 1'
_cell_length_a 4.526
_cell_length_b 4.526
_cell_length_c 4.526
_cell_angle_alpha 90.00
_cell_angle_beta 90.00
_cell_angle_gamma 90.00
loop_
_atom_site_label
_atom_site_type_symbol
_atom_site_fract_x
_atom_site_fract_y
_atom_site_fract_z
H1 H 0.000 0.500 0.000
H2 H 0.000 0.000 0.500
H3 H 0.500 0.000 0.000
K1 K 0.000 0.000 0.000
Cu1 Cu 0.500 0.500 0.500
```